No. 1
Computed, not measured: TbErGa2Pd4 after structural relaxation at the PBE level of DFT.

Computed properties:
The space group is P4/mmm (123). The value obtained for the energy above the most stable polymorph in this dataset is 80 meV/atom.

Cell: 4.6767 4.6767 6.6296 Å, 90.00 90.00 90.00°
Last column: nearest neighbours and their distance in Å.
Sites, in units of the cell vectors:
Pd 0.0000 0.5000 0.7533  2 Er 2.85, 4 Ga 2.85-2.88, 2 Tb 2.88
Pd 0.5000 0.0000 0.2467  4 Ga 2.85-2.88, 2 Er 2.85, 2 Tb 2.88
Pd 0.5000 0.0000 0.7533  2 Er 2.85, 4 Ga 2.85-2.88, 2 Tb 2.88
Pd 0.0000 0.5000 0.2467  2 Er 2.85, 4 Ga 2.85-2.88, 2 Tb 2.88
Ga 0.5000 0.5000 0.0000  8 Pd 2.85
Ga 0.0000 0.0000 0.5000  8 Pd 2.88
Er 0.0000 0.0000 0.0000  8 Pd 2.85
Tb 0.5000 0.5000 0.5000  8 Pd 2.88



No. 2
Computed, not measured: TbErGa2Pd4 after structural relaxation at the PBE level of DFT.

Computed properties:
The space group is P-6m2 (187). The value obtained for the energy above the most stable polymorph in this dataset is 0 meV/atom.

Cell: 4.3965 4.3965 9.0508 Å, 90.00 90.00 120.00°
Last column: nearest neighbours and their distance in Å.
Sites, in units of the cell vectors:
Er 0.0000 0.0000 0.0000  8 Pd 2.95-2.98
Pd 0.3333 0.6667 0.1660  3 Ga 2.65, 3 Pd 2.94, 3 Er 2.95
Pd 0.0000 0.0000 0.6709  3 Ga 2.64, 3 Pd 2.94
Pd 0.0000 0.0000 0.3291  3 Ga 2.64, 3 Pd 2.94
Pd 0.3333 0.6667 0.8340  3 Ga 2.65, 3 Pd 2.94, 3 Er 2.95
Tb 0.3333 0.6667 0.5000  8 Pd 2.97-3.02
Ga 0.6667 0.3333 0.7507  6 Pd 2.64-2.65
Ga 0.6667 0.3333 0.2493  6 Pd 2.64-2.65



No. 3
Computed, not measured: ErTm2Ga4Pd after structural relaxation at the PBE level of DFT.

Computed properties:
The space group is Amm2 (38). The value obtained for the total energy is -4.42 eV/atom.

Cell: 6.5472 6.9981 6.9981 Å, 31.42 90.00 90.00°
Last column: nearest neighbours and their distance in Å.
Sites, in units of the cell vectors:
Tm 0.0000 0.2344 0.2344  6 Ga 2.87-2.94
Tm 0.5000 0.7670 0.7670  6 Ga 3.04-3.08
Ga 0.2688 0.4030 0.4030  1 Ga 2.64, 2 Pd 2.70, 1 Tm 2.87
Ga 0.1907 0.5951 0.5951  2 Ga 2.50-2.64
Ga 0.7312 0.4030 0.4030  1 Ga 2.64, 2 Pd 2.70, 1 Tm 2.87
Ga 0.8093 0.5951 0.5951  2 Ga 2.50-2.64
Er 0.5000 0.0410 0.0410  8 Ga 2.87-3.06
Pd 0.0000 0.9616 0.9616  8 Ga 2.70-2.90



No. 4
Computed, not measured: Er2TmGa4Pd after structural relaxation at the PBE level of DFT.

Computed properties:
The space group is Amm2 (38). The value obtained for the total energy is -4.44 eV/atom.

Cell: 6.5771 6.0940 6.0940 Å, 42.50 90.00 90.00°
Last column: nearest neighbours and their distance in Å.
Sites, in units of the cell vectors:
Er 0.5000 0.0699 0.0699  8 Ga 3.06-3.30, 3 Tm 3.22-3.30
Er 0.0000 0.9268 0.9268  8 Ga 2.96-3.29, 3 Pd 3.22-3.31
Ga 0.8142 0.6129 0.6129  2 Ga 2.44-2.62
Ga 0.2924 0.3907 0.3907  2 Ga 2.62-2.73, 1 Pd 2.81, 2 Tm 2.86
Ga 0.1858 0.6129 0.6129  2 Ga 2.44-2.62
Ga 0.7076 0.3907 0.3907  2 Ga 2.62-2.73, 1 Pd 2.81, 2 Tm 2.86
Tm 0.5000 0.7862 0.7862  6 Ga 2.85-2.86
Pd 0.0000 0.2100 0.2100  6 Ga 2.75-2.81



No. 5
Computed, not measured: YErGa2Pd4 after structural relaxation at the PBE level of DFT.

Computed properties:
The space group is P4/mmm (123). The value obtained for the energy above the most stable polymorph in this dataset is 78 meV/atom.

Cell: 4.6737 4.6737 6.6236 Å, 90.00 90.00 90.00°
Last column: nearest neighbours and their distance in Å.
Sites, in units of the cell vectors:
Pd 0.5000 0.0000 0.7464  2 Er 2.85, 4 Ga 2.85-2.88, 2 Y 2.88
Pd 0.5000 0.0000 0.2536  4 Ga 2.85-2.88, 2 Er 2.85, 2 Y 2.88
Pd 0.0000 0.5000 0.7464  2 Er 2.85, 4 Ga 2.85-2.88, 2 Y 2.88
Pd 0.0000 0.5000 0.2536  4 Ga 2.85-2.88, 2 Er 2.85, 2 Y 2.88
Ga 0.0000 0.0000 0.0000  8 Pd 2.88
Ga 0.5000 0.5000 0.5000  8 Pd 2.85
Er 0.0000 0.0000 0.5000  8 Pd 2.85
Y 0.5000 0.5000 0.0000  8 Pd 2.88



No. 6
Computed, not measured: YErGa2Pd4 after structural relaxation at the PBE level of DFT.

Computed properties:
The space group is P-6m2 (187). The value obtained for the energy above the most stable polymorph in this dataset is 0 meV/atom.

Cell: 4.3955 4.3955 9.0440 Å, 90.00 90.00 120.00°
Last column: nearest neighbours and their distance in Å.
Sites, in units of the cell vectors:
Y 0.3333 0.6667 0.5000  8 Pd 2.98-3.03
Ga 0.6667 0.3333 0.7510  6 Pd 2.64-2.65
Ga 0.6667 0.3333 0.2490  6 Pd 2.64-2.65
Er 0.0000 0.0000 0.0000  8 Pd 2.95-2.97
Pd 0.3333 0.6667 0.1655  3 Ga 2.65, 3 Pd 2.93, 3 Er 2.95
Pd 0.0000 0.0000 0.6719  3 Ga 2.64, 3 Pd 2.93
Pd 0.3333 0.6667 0.8345  3 Ga 2.65, 3 Pd 2.93, 3 Er 2.95
Pd 0.0000 0.0000 0.3281  3 Ga 2.64, 3 Pd 2.93



No. 7
Computed, not measured: Er2Zn3GaPd2 after structural relaxation at the PBE level of DFT.

Computed properties:
The space group is Cm (8). The value obtained for the total energy is -3.94 eV/atom.

Cell: 5.2950 5.2950 6.9943 Å, 90.16 90.16 48.48°
Last column: nearest neighbours and their distance in Å.
Sites, in units of the cell vectors:
Er 0.9216 0.9216 0.7536  3 Pd 2.79-2.98, 3 Zn 3.08-3.10, 1 Ga 3.11
Er 0.0781 0.0781 0.2509  3 Pd 2.81-2.96, 2 Ga 3.10, 4 Zn 3.10-3.12
Ga 0.6320 0.6320 0.5589  3 Pd 2.61-2.64, 2 Zn 2.65-2.69
Zn 0.3714 0.3714 0.4386  3 Pd 2.65-2.66, 1 Ga 2.65, 1 Zn 2.67
Zn 0.6323 0.6323 0.9432  3 Pd 2.63-2.69, 1 Zn 2.69, 1 Ga 2.69
Zn 0.3669 0.3669 0.0570  3 Pd 2.65-2.69, 2 Zn 2.67-2.69
Pd 0.2107 0.2107 0.7445  2 Ga 2.64, 4 Zn 2.65-2.69, 1 Er 2.79
Pd 0.7869 0.7869 0.2532  1 Ga 2.61, 5 Zn 2.63-2.69, 1 Er 2.81



No. 8
Computed, not measured: PmErGa3 after structural relaxation at the PBE level of DFT.

Computed properties:
The space group is Cmcm (63). The value obtained for the total energy is -4.34 eV/atom.

Cell: 12.9465 12.9465 4.1742 Å, 90.00 90.00 161.13°
Last column: nearest neighbours and their distance in Å.
Sites, in units of the cell vectors:
Pm 0.5738 0.4262 0.7500  12 Ga 3.21-3.40
Pm 0.4262 0.5738 0.2500  12 Ga 3.21-3.40
Ga 0.1778 0.8222 0.7500  2 Ga 2.54
Ga 0.0243 0.9757 0.2500  3 Ga 2.43-2.47
Ga 0.1209 0.8791 0.2500  3 Ga 2.47-2.54
Ga 0.9757 0.0243 0.7500  3 Ga 2.43-2.47
Ga 0.8222 0.1778 0.2500  2 Ga 2.54
Ga 0.8791 0.1209 0.7500  3 Ga 2.47-2.54
Er 0.7040 0.2960 0.2500  7 Ga 3.00-3.05
Er 0.2960 0.7040 0.7500  7 Ga 3.00-3.05